VASP calculation (GGA-PBEsol) on KInN2Cl after structural relaxation.

a b c (Å): 4.1994 4.1994 9.8085
angles (deg): 90.00 90.00 90.00
Space group P4/mmm (No. 123)
Inequivalent atoms, fractional coordinates:
K 0.0000 0.0000 0.0000
In 0.0000 0.0000 0.5000
N 0.0000 0.5000 0.5000
Cl 0.5000 0.5000 0.0000

For the formation energy (no corrections), the calculation gives 669 meV per atom. For the total magnetization, the calculation gives 2.9 μB per cell.

=====

VASP calculation (GGA-PBEsol) on K6InTe4Cl after structural relaxation.

a b c (Å): 11.2662 11.2662 7.9236
angles (deg): 90.00 90.00 120.00
Space group P6_3mc (No. 186)
Inequivalent atoms, fractional coordinates:
K 0.0411 0.5205 0.0000
K 0.1240 0.2480 0.6956
In 0.3333 0.6667 0.3849
Te 0.1979 0.3958 0.2774
Te 0.3333 0.6667 0.7370
Cl 0.0000 0.0000 0.4524

For the formation energy (no corrections), the calculation gives -1096 meV per atom. For the total magnetization, the calculation gives 0.0 μB per cell.